Record 1
This record from Alexandria describes a geometry-optimized GaSiPS structure. The functional is PBE-GGA.

abc: 6.206 3.583 8.743
angles: 90.00 90.10 90.00
Space group Cm (No. 8)
Symmetry-distinct sites (fractional):
Ga 0.000 0.000 0.000
Si 0.499 0.500 0.724
P 0.166 0.500 0.610
S 0.334 0.000 0.125

Calculated values
Formation energy from raw total energies: -0.380 eV per atom
Theoretical density: 2.7 Mg/m³
Total DFT energy (no corrections): -39.02 eV per cell

Record 2
This record from Alexandria describes a geometry-optimized GaSiP2S structure. The functional is PBE-GGA.

abc: 4.554 4.554 4.603
angles: 90.00 90.00 90.00
Space group P4/mmm (No. 123)
Symmetry-distinct sites (fractional):
Ga 0.000 0.000 0.000
Si 0.500 0.500 0.500
P 0.000 0.500 0.500
S 0.500 0.500 0.000

Calculated values
Formation energy from raw total energies: 0.498 eV per atom
Theoretical density: 3.3 Mg/m³
Total DFT energy (no corrections): -20.91 eV per cell

Record 3
This record from Alexandria describes a geometry-optimized GaSiPS2 structure. The functional is PBE-GGA.

abc: 4.549 4.549 4.611
angles: 90.00 90.00 90.00
Space group P4/mmm (No. 123)
Symmetry-distinct sites (fractional):
Ga 0.000 0.000 0.000
Si 0.500 0.500 0.500
P 0.500 0.500 0.000
S 0.000 0.500 0.500

Calculated values
Formation energy from raw total energies: 0.298 eV per atom
Theoretical density: 3.4 Mg/m³
Total DFT energy (no corrections): -20.62 eV per cell

Record 4
This record from Alexandria describes a geometry-optimized Sm6GaP2S3 structure. The functional is PBE-GGA.

abc: 17.869 4.054 8.249
angles: 90.00 103.31 90.00
Space group C2/m (No. 12)
Symmetry-distinct sites (fractional):
Sm 0.001 0.000 0.258
Sm 0.168 0.500 0.088
Sm 0.169 0.500 0.579
Ga 0.000 0.500 0.000
P 0.167 0.000 0.335
S 0.000 0.500 0.500
S 0.168 0.000 0.832

Calculated values
Formation energy from raw total energies: -1.650 eV per atom
Theoretical density: 6.5 Mg/m³
Total DFT energy (no corrections): -148.69 eV per cell